[1]
## CsNa3N (PBE)

Data for a geometry-optimized CsNa3N structure.

Summary:
Total DFT energy (no corrections)   -2.231 eV per atom
Space-group type   Pm-3m, No. 221
Polymorph energy (0 for the lowest one)   0.0000 eV/atom
ΔE_f (raw)   38.21 kJ/mol of atoms
Total magnetic moment   0.0 Bohr magnetons per cell
Mass density   2.5 g/cm³

a = 5.2298 Å, b = 5.2298 Å, c = 5.2298 Å
α = 90.00°, β = 90.00°, γ = 90.00°
Fractional positions:
Cs 0.5000 0.5000 0.5000
Na 0.0000 0.5000 0.0000
Na 0.0000 0.0000 0.5000
Na 0.5000 0.0000 0.0000
N 0.0000 0.0000 0.0000



[2]
## CsNaN4 (PBE)

Data for a geometry-optimized CsNaN4 structure.

Summary:
Total DFT energy (no corrections)   -5.994 eV per atom
Space-group type   I4_1/amd, No. 141
ΔE_f (raw)   -7.87 kJ/mol of atoms
Total magnetic moment   2.9 Bohr magnetons per cell
Mass density   2.9 g/cm³

a = 6.2127 Å, b = 6.2127 Å, c = 7.6474 Å
α = 113.97°, β = 113.97°, γ = 90.00°
Fractional positions:
Cs 0.8750 0.6250 0.2500
Cs 0.1250 0.3750 0.7500
Na 0.3750 0.1250 0.2500
Na 0.6250 0.8750 0.7500
N 0.3889 0.7341 0.2779
N 0.3891 0.5438 0.2779
N 0.0438 0.8889 0.7780
N 0.2341 0.8891 0.7780
N 0.6111 0.2659 0.7220
N 0.6109 0.4562 0.7220
N 0.9562 0.1111 0.2220
N 0.7659 0.1109 0.2220



[3]
## CsNa3N8 (PBE)

Data for a geometry-optimized CsNa3N8 structure.

Summary:
Total DFT energy (no corrections)   -5.982 eV per atom
Space-group type   C2/m, No. 12
ΔE_f (raw)   -2.97 kJ/mol of atoms
Total magnetic moment   0.0 Bohr magnetons per cell
Mass density   2.5 g/cm³

a = 6.5241 Å, b = 6.5229 Å, c = 6.5243 Å
α = 65.01°, β = 80.91°, γ = 114.98°
Fractional positions:
Cs 0.0000 0.0000 0.0000
Na 0.7500 0.5000 0.7502
Na 0.2500 0.5000 0.2499
Na 0.5000 0.9999 0.5000
N 0.0915 0.0003 0.4741
N 0.4746 0.5660 0.5254
N 0.9084 0.4336 0.0916
N 0.5260 0.0003 0.9085
N 0.9089 0.9997 0.5256
N 0.5250 0.4340 0.4750
N 0.0913 0.5664 0.9087
N 0.4745 0.9997 0.0912



[4]
## CsNa3N (PBE)

Data for a geometry-optimized CsNa3N structure.

Summary:
Total DFT energy (no corrections)   -0.855 eV per atom
Space-group type   Pm-3m, No. 221
Polymorph energy (0 for the lowest one)   1.3765 eV/atom
ΔE_f (raw)   171.03 kJ/mol of atoms
Total magnetic moment   0.0 Bohr magnetons per cell
Mass density   1.2 g/cm³

a = 6.6925 Å, b = 6.6925 Å, c = 6.6925 Å
α = 90.00°, β = 90.00°, γ = 90.00°
Fractional positions:
Cs 0.0000 0.0000 0.0000
Na 0.0000 0.5000 0.0000
Na 0.0000 0.0000 0.5000
Na 0.5000 0.0000 0.0000
N 0.5000 0.5000 0.5000



[5]
## CsNaN2 (PBE)

Data for a geometry-optimized CsNaN2 structure.

Summary:
Total DFT energy (no corrections)   -3.190 eV per atom
Space-group type   Fm-3m, No. 225
Polymorph energy (0 for the lowest one)   0.0000 eV/atom
ΔE_f (raw)   146.23 kJ/mol of atoms
Total magnetic moment   4.0 Bohr magnetons per cell
Mass density   3.5 g/cm³

a = 4.9698 Å, b = 4.9698 Å, c = 4.9698 Å
α = 60.00°, β = 60.00°, γ = 60.00°
Fractional positions:
Cs 0.5000 0.5000 0.5000
Na 0.0000 0.0000 0.0000
N 0.2500 0.2500 0.2500
N 0.7500 0.7500 0.7500



[6]
## CsNaNO2 (PBE)

Data for a geometry-optimized CsNaNO2 structure.

Summary:
Total DFT energy (no corrections)   -3.174 eV per atom
Space-group type   P4/mmm, No. 123
ΔE_f (raw)   87.65 kJ/mol of atoms
Total magnetic moment   0.2 Bohr magnetons per cell
Mass density   3.3 g/cm³

a = 4.6322 Å, b = 4.6322 Å, c = 4.6803 Å
α = 90.00°, β = 90.00°, γ = 90.00°
Fractional positions:
Cs 0.5000 0.5000 0.5000
Na 0.0000 0.0000 0.0000
O 0.0000 0.5000 0.0000
O 0.5000 0.0000 0.0000
N 0.0000 0.0000 0.5000



[7]
## CsNaNO2 (PBE)

Data for a geometry-optimized CsNaNO2 structure.

Summary:
Total DFT energy (no corrections)   -3.104 eV per atom
Space-group type   P4/mmm, No. 123
ΔE_f (raw)   94.49 kJ/mol of atoms
Total magnetic moment   1.3 Bohr magnetons per cell
Mass density   3.6 g/cm³

a = 4.5500 Å, b = 4.5500 Å, c = 4.4670 Å
α = 90.00°, β = 90.00°, γ = 90.00°
Fractional positions:
Cs 0.0000 0.0000 0.0000
Na 0.5000 0.5000 0.5000
O 0.0000 0.5000 0.0000
O 0.5000 0.0000 0.0000
N 0.0000 0.0000 0.5000



[8]
## CsNaN2O (PBE)

Data for a geometry-optimized CsNaN2O structure.

Summary:
Total DFT energy (no corrections)   -3.000 eV per atom
Space-group type   P4/mmm, No. 123
ΔE_f (raw)   169.45 kJ/mol of atoms
Total magnetic moment   3.0 Bohr magnetons per cell
Mass density   3.0 g/cm³

a = 4.8960 Å, b = 4.8960 Å, c = 4.5832 Å
α = 90.00°, β = 90.00°, γ = 90.00°
Fractional positions:
Cs 0.0000 0.0000 0.0000
Na 0.5000 0.5000 0.5000
O 0.0000 0.0000 0.5000
N 0.0000 0.5000 0.0000
N 0.5000 0.0000 0.0000



[9]
## CsNaPa4N8 (PBE)

Data for a geometry-optimized CsNaPa4N8 structure.

Summary:
Total DFT energy (no corrections)   -8.523 eV per atom
Space-group type   R3m, No. 160
ΔE_f (raw)   -86.58 kJ/mol of atoms
Total magnetic moment   0.3 Bohr magnetons per cell
Mass density   7.7 g/cm³

a = 7.1661 Å, b = 7.1661 Å, c = 7.1320 Å
α = 59.84°, β = 59.84°, γ = 60.00°
Fractional positions:
Cs 0.3745 0.3745 0.8766
Na 0.0025 0.0025 0.9926
Pa 0.6181 0.6181 0.1458
Pa 0.0036 0.4925 0.5003
Pa 0.4925 0.0036 0.5003
Pa 0.0036 0.0036 0.5003
N 0.2462 0.8343 0.6733
N 0.8343 0.2462 0.6733
N 0.2462 0.2462 0.6733
N 0.2228 0.2228 0.3316
N 0.7312 0.2435 0.2941
N 0.2435 0.7312 0.2941
N 0.7312 0.7312 0.2941
N 0.7499 0.7499 0.7504



[10]
## CsNaReN3 (PBE)

Data for a geometry-optimized CsNaReN3 structure.

Summary:
Total DFT energy (no corrections)   -6.745 eV per atom
Space-group type   C2/c, No. 15
ΔE_f (raw)   -14.02 kJ/mol of atoms
Total magnetic moment   0.0 Bohr magnetons per cell
Mass density   6.1 g/cm³

a = 5.6200 Å, b = 6.2506 Å, c = 6.7422 Å
α = 62.38°, β = 88.93°, γ = 87.70°
Fractional positions:
Cs 0.2500 0.2705 0.4590
Cs 0.7500 0.7295 0.5410
Na 0.2500 0.5707 0.8586
Na 0.7500 0.4293 0.1414
Re 0.7500 0.0465 0.9070
Re 0.2500 0.9535 0.0930
N 0.4969 0.8004 0.9835
N 0.0031 0.2161 0.9835
N 0.7500 0.1937 0.6127
N 0.5031 0.1996 0.0165
N 0.9969 0.7839 0.0165
N 0.2500 0.8063 0.3873



[11]
## Cs2NaRhN (PBE)

Data for a geometry-optimized Cs2NaRhN structure.

Summary:
Total DFT energy (no corrections)   -2.595 eV per atom
Space-group type   P4/mmm, No. 123
ΔE_f (raw)   110.49 kJ/mol of atoms
Total magnetic moment   1.8 Bohr magnetons per cell
Mass density   3.5 g/cm³

a = 5.9077 Å, b = 5.4819 Å, c = 5.9077 Å
α = 90.00°, β = 90.00°, γ = 90.00°
Fractional positions:
Cs 0.0000 0.0000 0.5000
Cs 0.5000 0.0000 0.0000
Na 0.0000 0.5000 0.0000
Rh 0.0000 0.0000 0.0000
N 0.5000 0.5000 0.5000



[12]
## CsNaSN2 (PBE)

Data for a geometry-optimized CsNaSN2 structure.

Summary:
Total DFT energy (no corrections)   -2.734 eV per atom
Space-group type   P4/mmm, No. 123
ΔE_f (raw)   179.12 kJ/mol of atoms
Total magnetic moment   4.0 Bohr magnetons per cell
Mass density   2.3 g/cm³

a = 4.9535 Å, b = 4.9535 Å, c = 6.2999 Å
α = 90.00°, β = 90.00°, γ = 90.00°
Fractional positions:
Cs 0.0000 0.0000 0.0000
Na 0.5000 0.5000 0.5000
S 0.0000 0.0000 0.5000
N 0.0000 0.5000 0.0000
N 0.5000 0.0000 0.0000